No. 1
YInPt2: optimized geometry, PBE.

For the formation energy, the calculation gives -3.7 eV/f.u. Its crystal system is monoclinic.

Cell lengths 4.444, 5.678, 6.952 Å; angles 110.41, 90.00, 90.00 degrees
Sites, in units of the cell vectors:
Y 0.250 0.273 0.072
Y 0.750 0.727 0.928
In 0.750 0.679 0.409
In 0.250 0.321 0.591
Pt 0.250 0.833 0.234
Pt 0.750 0.167 0.766
Pt 0.750 0.162 0.322
Pt 0.250 0.838 0.678

---

No. 2
Na3CaMo: optimized geometry, PBE.

For the formation energy, the calculation gives 5.6 eV/f.u. As for the offset from the most stable computed form: 0.00 eV/f.u. Its crystal system is cubic.

Cell lengths 5.832, 5.832, 5.832 Å; angles 90.00, 90.00, 90.00 degrees
Site moments in Bohr magnetons follow the coordinates.
Sites, in units of the cell vectors:
Na 0.000 0.500 0.000  0.02
Na 0.000 0.000 0.500  0.00
Na 0.500 0.000 0.000  0.03
Mo 0.000 0.000 0.000  3.63
Ca 0.500 0.500 0.500  -0.05

---

No. 3
La2TbNd2Er2: optimized geometry, PBE.

For the formation energy, the calculation gives 0.2 eV/f.u. Its crystal system is monoclinic.

Cell lengths 5.142, 6.278, 8.165 Å; angles 97.42, 90.00, 114.18 degrees
Sites, in units of the cell vectors:
La 0.142 0.284 0.426
La 0.858 0.716 0.574
Tb 0.000 0.000 0.000
Nd 0.715 0.429 0.140
Nd 0.285 0.571 0.860
Er 0.571 0.141 0.716
Er 0.429 0.859 0.284

---

No. 4
KFe4Pt: optimized geometry, PBE.

For the formation energy, the calculation gives 3.6 eV/f.u. Its crystal system is cubic.

Cell lengths 5.086, 5.086, 5.086 Å; angles 60.00, 60.00, 60.00 degrees
Site moments in Bohr magnetons follow the coordinates.
Sites, in units of the cell vectors:
K 0.750 0.750 0.750  0.00
Fe 0.877 0.374 0.374  2.80
Fe 0.374 0.374 0.877  2.80
Fe 0.374 0.877 0.374  2.80
Fe 0.374 0.374 0.374  2.80
Pt 0.000 0.000 0.000  0.42

---

No. 5
InPd3Se: optimized geometry, PBE.

The calculation puts the raw formation energy at 0.68 eV/atom. As for the offset from the most stable computed form: 5.00 eV/f.u. Its crystal system is cubic.

Cell lengths 4.940, 4.940, 4.940 Å; angles 90.00, 90.00, 90.00 degrees
Sites, in units of the cell vectors:
Se 0.500 0.500 0.500
Pd 0.000 0.500 0.000
Pd 0.000 0.000 0.500
Pd 0.500 0.000 0.000
In 0.000 0.000 0.000

---

No. 6
Ba5Pt: optimized geometry, PBE.

For the formation energy, the calculation gives 3.1 eV/f.u. As for the offset from the most stable computed form: 4.71 eV/f.u. Its crystal system is cubic.

Cell lengths 7.487, 7.487, 7.487 Å; angles 60.00, 60.00, 60.00 degrees
Site moments in Bohr magnetons follow the coordinates.
Sites, in units of the cell vectors:
Ba 0.879 0.374 0.374  0.15
Ba 0.750 0.750 0.750  0.12
Ba 0.374 0.879 0.374  0.15
Ba 0.374 0.374 0.374  0.15
Ba 0.374 0.374 0.879  0.15
Pt 0.000 0.000 0.000  0.10